(1)
## ReTcW2I (SCAN)

Data for a PBEsol-optimized structure of ReTcW2I.

Unit cell a=4.727 b=4.727 c=5.130 alpha=90.00 beta=90.00 gamma=90.00
Site moments in Bohr magnetons follow the coordinates.
Fractional positions:
1 W 0.000 0.500 0.000  -0.94
2 W 0.500 0.000 0.000  -0.94
3 Re 0.000 0.000 0.000  0.11
4 I 0.000 0.000 0.500  0.02
5 Tc 0.500 0.500 0.500  3.50

Results
**Energy**: -53.816 eV/atom

(2)
## ZrOs2Br (SCAN)

Data for a PBEsol-optimized structure of ZrOs2Br.

Unit cell a=2.968 b=2.968 c=7.723 alpha=90.00 beta=90.00 gamma=90.00
Fractional positions:
1 Os 0.000 0.000 0.033
2 Os 0.500 0.500 0.228
3 Zr 0.000 0.000 0.503
4 Br 0.500 0.500 0.736

Results
**Distance to the lowest polymorph of the same formula**: 0 meV/atom